i.
DFT (PBE-GGA) results for a relaxed Zr2TeBr crystal.

```
data_Zr2TeBr
_cell_length_a 5.3311
_cell_length_b 5.3311
_cell_length_c 5.2617
_cell_angle_alpha 77.59
_cell_angle_beta 77.59
_cell_angle_gamma 38.87
_symmetry_space_group_name_H-M 'P 1'
_symmetry_Int_Tables_number 1
_symmetry_space_group_name_Hall 'P 1'
loop_
_atom_site_label
_atom_site_type_symbol
_atom_site_fract_x
_atom_site_fract_y
_atom_site_fract_z
_atom_site_occupancy
Br1 Br 0.4913 0.4913 0.5977 1
Te1 Te 0.2575 0.2575 0.1895 1
Zr1 Zr 0.7555 0.7555 0.6909 1
Zr2 Zr 0.9958 0.9958 0.0219 1
```

Space-group type: Cm
Total magnetization: 0.00 μB/cell



ii.
DFT (PBE-GGA) results for a relaxed Zr2TeBr crystal.

```
data_Zr2TeBr
_cell_length_a 3.7096
_cell_length_b 3.7096
_cell_length_c 7.9121
_cell_angle_alpha 90.00
_cell_angle_beta 90.00
_cell_angle_gamma 90.00
_symmetry_space_group_name_H-M 'P 1'
_symmetry_Int_Tables_number 1
_symmetry_space_group_name_Hall 'P 1'
loop_
_atom_site_label
_atom_site_type_symbol
_atom_site_fract_x
_atom_site_fract_y
_atom_site_fract_z
_atom_site_occupancy
Te1 Te 0.5000 0.5000 0.8416 1
Zr1 Zr 0.0000 0.0000 0.0150 1
Zr2 Zr 0.5000 0.5000 0.2273 1
Br1 Br 0.0000 0.0000 0.4162 1
```

Space-group type: P4mm
Total magnetization: 0.00 μB/cell



Q: What are the energies relative to the best structure? A: i 11.0; ii 0.0, in kJ/mol of atoms.



i.
DFT (PBE-GGA) results for a relaxed Zr2TeBr crystal.

```
data_Zr2TeBr
_cell_length_a 3.5523
_cell_length_b 3.6340
_cell_length_c 7.6643
_cell_angle_alpha 89.95
_cell_angle_beta 90.00
_cell_angle_gamma 90.00
_symmetry_space_group_name_H-M 'P 1'
_symmetry_Int_Tables_number 1
_symmetry_space_group_name_Hall 'P 1'
loop_
_atom_site_label
_atom_site_type_symbol
_atom_site_fract_x
_atom_site_fract_y
_atom_site_fract_z
_atom_site_occupancy
Te1 Te 0.5000 0.7500 0.7500 1
Zr1 Zr 0.0000 0.2496 0.9562 1
Zr2 Zr 0.0000 0.2504 0.5438 1
Br1 Br 0.5000 0.2500 0.2500 1
```

Space-group type: Pmmm
Total magnetization: 0.00 μB/cell



ii.
DFT (PBE-GGA) results for a relaxed Zr2TeBr crystal.

```
data_Zr2TeBr
_cell_length_a 3.3606
_cell_length_b 3.3606
_cell_length_c 10.3281
_cell_angle_alpha 90.00
_cell_angle_beta 90.00
_cell_angle_gamma 107.92
_symmetry_space_group_name_H-M 'P 1'
_symmetry_Int_Tables_number 1
_symmetry_space_group_name_Hall 'P 1'
loop_
_atom_site_label
_atom_site_type_symbol
_atom_site_fract_x
_atom_site_fract_y
_atom_site_fract_z
_atom_site_occupancy
Zr1 Zr 0.5000 0.5000 0.2415 1
Zr2 Zr 0.0000 0.0000 0.0142 1
Te1 Te 0.5000 0.5000 0.8154 1
Br1 Br 0.0000 0.0000 0.4289 1
```

Space-group type: Cmm2
Total magnetization: 0.00 μB/cell



Q: What are the energies relative to the best structure? A: i 12.3; ii 0.0, in kJ/mol of atoms.



i.
DFT (PBE-GGA) results for a relaxed Zr2TeBr crystal.

```
data_Zr2TeBr
_cell_length_a 6.3346
_cell_length_b 6.3346
_cell_length_c 6.3346
_cell_angle_alpha 148.40
_cell_angle_beta 134.36
_cell_angle_gamma 56.57
_symmetry_space_group_name_H-M 'P 1'
_symmetry_Int_Tables_number 1
_symmetry_space_group_name_Hall 'P 1'
loop_
_atom_site_label
_atom_site_type_symbol
_atom_site_fract_x
_atom_site_fract_y
_atom_site_fract_z
_atom_site_occupancy
Br1 Br 0.5216 0.5216 0.0000 1
Zr1 Zr 0.7257 0.2257 0.5000 1
Zr2 Zr 0.0185 0.0185 0.0000 1
Te1 Te 0.2342 0.7342 0.5000 1
```

Space-group type: Imm2
Total magnetization: 0.00 μB/cell



ii.
DFT (PBE-GGA) results for a relaxed Zr2TeBr crystal.

```
data_Zr2TeBr
_cell_length_a 5.1191
_cell_length_b 5.1191
_cell_length_c 5.1191
_cell_angle_alpha 60.00
_cell_angle_beta 60.00
_cell_angle_gamma 60.00
_symmetry_space_group_name_H-M 'P 1'
_symmetry_Int_Tables_number 1
_symmetry_space_group_name_Hall 'P 1'
loop_
_atom_site_label
_atom_site_type_symbol
_atom_site_fract_x
_atom_site_fract_y
_atom_site_fract_z
_atom_site_occupancy
Zr1 Zr 0.7500 0.7500 0.7500 1
Zr2 Zr 0.0000 0.0000 0.0000 1
Te1 Te 0.2500 0.2500 0.2500 1
Br1 Br 0.5000 0.5000 0.5000 1
```

Space-group type: F-43m
Total magnetization: 0.83 μB/cell



Q: What are the energies relative to the best structure? A: i 0.0; ii 56.1, in kJ/mol of atoms.



i.
DFT (PBE-GGA) results for a relaxed Zr2Te2Br crystal.

```
data_Zr2Te2Br
_cell_length_a 8.2029
_cell_length_b 8.2029
_cell_length_c 3.7081
_cell_angle_alpha 90.00
_cell_angle_beta 90.00
_cell_angle_gamma 90.00
_symmetry_space_group_name_H-M 'P 1'
_symmetry_Int_Tables_number 1
_symmetry_space_group_name_Hall 'P 1'
loop_
_atom_site_label
_atom_site_type_symbol
_atom_site_fract_x
_atom_site_fract_y
_atom_site_fract_z
_atom_site_occupancy
Te1 Te 0.3526 0.1474 0.5000 1
Te2 Te 0.1474 0.6474 0.5000 1
Te3 Te 0.8526 0.3526 0.5000 1
Te4 Te 0.6474 0.8526 0.5000 1
Br1 Br 0.5000 0.5000 0.0000 1
Br2 Br 0.0000 0.0000 0.0000 1
Zr1 Zr 0.8637 0.6363 0.0000 1
Zr2 Zr 0.1363 0.3637 0.0000 1
Zr3 Zr 0.3637 0.8637 0.0000 1
Zr4 Zr 0.6363 0.1363 0.0000 1
```

Space-group type: P4/mbm
Total magnetization: 0.00 μB/cell



ii.
DFT (PBE-GGA) results for a relaxed Zr2Te2Br crystal.

```
data_Zr2Te2Br
_cell_length_a 5.6162
_cell_length_b 6.9363
_cell_length_c 8.2693
_cell_angle_alpha 109.05
_cell_angle_beta 90.00
_cell_angle_gamma 113.88
_symmetry_space_group_name_H-M 'P 1'
_symmetry_Int_Tables_number 1
_symmetry_space_group_name_Hall 'P 1'
loop_
_atom_site_label
_atom_site_type_symbol
_atom_site_fract_x
_atom_site_fract_y
_atom_site_fract_z
_atom_site_occupancy
Zr1 Zr 0.1620 0.3240 0.5600 1
Zr2 Zr 0.5186 0.0371 0.3153 1
Zr3 Zr 0.4814 0.9629 0.6847 1
Zr4 Zr 0.8380 0.6760 0.4400 1
Te1 Te 0.6999 0.3998 0.6581 1
Te2 Te 0.9804 0.9609 0.2202 1
Te3 Te 0.0196 0.0391 0.7798 1
Te4 Te 0.3001 0.6002 0.3419 1
Br1 Br 0.3494 0.6987 0.8870 1
Br2 Br 0.6506 0.3013 0.1130 1
```

Space-group type: C2/m
Total magnetization: 0.00 μB/cell



Q: What are the energies relative to the best structure? A: i 14.3; ii 0.0, in kJ/mol of atoms.



i.
DFT (PBE-GGA) results for a relaxed ThTlBr6 crystal.

```
data_ThTlBr6
_cell_length_a 7.5849
_cell_length_b 7.5849
_cell_length_c 7.3057
_cell_angle_alpha 98.67
_cell_angle_beta 98.67
_cell_angle_gamma 122.38
_symmetry_space_group_name_H-M 'P 1'
_symmetry_Int_Tables_number 1
_symmetry_space_group_name_Hall 'P 1'
loop_
_atom_site_label
_atom_site_type_symbol
_atom_site_fract_x
_atom_site_fract_y
_atom_site_fract_z
_atom_site_occupancy
Br1 Br 0.8902 0.5875 0.7405 1
Br2 Br 0.7389 0.7389 0.2637 1
Br3 Br 0.2611 0.2611 0.7363 1
Br4 Br 0.5875 0.8902 0.7405 1
Br5 Br 0.1098 0.4125 0.2595 1
Br6 Br 0.4125 0.1098 0.2595 1
Tl1 Tl 0.0000 0.0000 0.0000 1
Th1 Th 0.5000 0.5000 0.5000 1
```

Space-group type: C2/m
Total magnetization: 0.00 μB/cell



ii.
DFT (PBE-GGA) results for a relaxed ThTlBr6 crystal.

```
data_ThTlBr6
_cell_length_a 4.9510
_cell_length_b 8.2766
_cell_length_c 7.6843
_cell_angle_alpha 77.34
_cell_angle_beta 71.18
_cell_angle_gamma 72.57
_symmetry_space_group_name_H-M 'P 1'
_symmetry_Int_Tables_number 1
_symmetry_space_group_name_Hall 'P 1'
loop_
_atom_site_label
_atom_site_type_symbol
_atom_site_fract_x
_atom_site_fract_y
_atom_site_fract_z
_atom_site_occupancy
Br1 Br 0.4760 0.2060 0.8423 1
Br2 Br 0.2690 0.8194 0.6425 1
Br3 Br 0.8872 0.4890 0.7368 1
Br4 Br 0.7310 0.1806 0.3575 1
Br5 Br 0.1128 0.5110 0.2632 1
Br6 Br 0.5240 0.7940 0.1577 1
Tl1 Tl 0.0000 0.0000 0.0000 1
Th1 Th 0.5000 0.5000 0.5000 1
```

Space-group type: C2/m
Total magnetization: 0.00 μB/cell



Q: What are the energies relative to the best structure? A: i 0.0; ii 4.9, in kJ/mol of atoms.



i.
DFT (PBE-GGA) results for a relaxed TiTlBr4 crystal.

```
data_TiTlBr4
_cell_length_a 10.2607
_cell_length_b 6.6246
_cell_length_c 9.0261
_cell_angle_alpha 100.05
_cell_angle_beta 116.37
_cell_angle_gamma 109.78
_symmetry_space_group_name_H-M 'P 1'
_symmetry_Int_Tables_number 1
_symmetry_space_group_name_Hall 'P 1'
loop_
_atom_site_label
_atom_site_type_symbol
_atom_site_fract_x
_atom_site_fract_y
_atom_site_fract_z
_atom_site_occupancy
Br1 Br 0.3434 0.1478 0.8565 1
Br2 Br 0.9138 0.0695 0.6305 1
Br3 Br 0.2167 0.5610 0.6305 1
Br4 Br 0.0131 0.7086 0.8565 1
Br5 Br 0.7833 0.4390 0.3695 1
Br6 Br 0.0862 0.9305 0.3695 1
Br7 Br 0.6566 0.8522 0.1435 1
Br8 Br 0.9869 0.2914 0.1435 1
Tl1 Tl 0.2679 0.5179 0.0358 1
Tl2 Tl 0.7321 0.4821 0.9642 1
Ti1 Ti 0.0587 0.8087 0.6175 1
Ti2 Ti 0.9413 0.1913 0.3825 1
```

Space-group type: C2/c
Total magnetization: 2.00 μB/cell



ii.
DFT (PBE-GGA) results for a relaxed TiTlBr4 crystal.

```
data_TiTlBr4
_cell_length_a 7.7991
_cell_length_b 9.6755
_cell_length_c 8.2033
_cell_angle_alpha 113.49
_cell_angle_beta 103.78
_cell_angle_gamma 113.72
_symmetry_space_group_name_H-M 'P 1'
_symmetry_Int_Tables_number 1
_symmetry_space_group_name_Hall 'P 1'
loop_
_atom_site_label
_atom_site_type_symbol
_atom_site_fract_x
_atom_site_fract_y
_atom_site_fract_z
_atom_site_occupancy
Ti1 Ti 0.7502 0.0002 0.0004 1
Ti2 Ti 0.2498 0.9998 0.9996 1
Br1 Br 0.1067 0.7128 0.9973 1
Br2 Br 0.6095 0.7155 0.0027 1
Br3 Br 0.6308 0.1297 0.2706 1
Br4 Br 0.3905 0.2845 0.9973 1
Br5 Br 0.3692 0.8703 0.7294 1
Br6 Br 0.1397 0.1408 0.2706 1
Br7 Br 0.8933 0.2872 0.0027 1
Br8 Br 0.8603 0.8592 0.7294 1
Tl1 Tl 0.6132 0.3632 0.7264 1
Tl2 Tl 0.3868 0.6368 0.2736 1
```

Space-group type: C2/c
Total magnetization: 2.00 μB/cell



Q: What are the energies relative to the best structure? A: i 0.0; ii 0.7, in kJ/mol of atoms.